1.
LiMoAs2: relaxed, GGA-PBE.

```
LiMoAs2
1.0
1.627 0.939 7.717
-1.627 0.939 7.717
0.000 -1.878 7.717
Li Mo As
1 1 2
direct
0.000 0.000 0.000
0.838 0.838 0.838
0.246 0.246 0.246
0.428 0.428 0.428
```

Calculated values
Volume, Å³ per atom: 17.7
DFT total energy, eV/atom: -5.8315
Calculated density, g/cm³: 5.933
Distance to the lowest polymorph of the same formula, meV per atom: 6
Formation energy from the elements, meV per atom: -321

2.
LiMoAs2: relaxed, GGA-PBE.

```
LiMoAs2
1.0
4.611 -1.646 0.000
4.611 1.646 0.000
-0.920 0.000 4.264
Li Mo As
1 1 2
direct
0.000 0.000 0.000
0.233 0.233 0.553
0.518 0.518 0.552
0.734 0.734 0.079
```

Calculated values
Volume, Å³ per atom: 16.2
DFT total energy, eV/atom: -5.6569
Calculated density, g/cm³: 6.484
Distance to the lowest polymorph of the same formula, meV per atom: 181
Formation energy from the elements, meV per atom: -146

3.
LiMoAs2: relaxed, GGA-PBE.

```
LiMoAs2
1.0
2.714 0.000 0.000
0.000 2.714 0.000
0.000 0.000 9.905
Li Mo As
1 1 2
direct
0.000 0.000 0.000
0.500 0.500 0.237
0.000 0.000 0.440
0.500 0.500 0.793
```

Calculated values
Volume, Å³ per atom: 18.2
DFT total energy, eV/atom: -5.3304
Calculated density, g/cm³: 5.751
Distance to the lowest polymorph of the same formula, meV per atom: 508
Formation energy from the elements, meV per atom: 181

4.
LiMoAs2: relaxed, GGA-PBE.

```
LiMoAs2
1.0
1.702 -2.509 0.000
1.702 2.509 0.000
0.000 0.000 7.944
Li Mo As
1 1 2
direct
0.000 0.000 0.000
0.000 0.000 0.500
0.500 0.500 0.260
0.500 0.500 0.740
```

Calculated values
Volume, Å³ per atom: 17.0
DFT total energy, eV/atom: -5.5887
Calculated density, g/cm³: 6.187
Distance to the lowest polymorph of the same formula, meV per atom: 249
Formation energy from the elements, meV per atom: -78

5.
LiMoAs2: relaxed, GGA-PBE.

```
LiMoAs2
1.0
2.912 -3.283 0.000
2.912 3.283 0.000
0.000 0.000 3.250
Li Mo As
1 1 2
direct
0.000 0.000 0.000
0.500 0.500 0.000
0.000 0.500 0.500
0.500 0.000 0.500
```

Calculated values
Volume, Å³ per atom: 15.5
DFT total energy, eV/atom: -5.5503
Calculated density, g/cm³: 6.753
Distance to the lowest polymorph of the same formula, meV per atom: 288
Formation energy from the elements, meV per atom: -39